This record from the Alexandria database describes a relaxed structure of Sr3ScPb12. The functional is PBE.

## Properties
The energy relative to the elements is -0.29 eV/atom. The space-group type is No. 123.

```
Sr3ScPb12
1.0
4.9956 0.0000 0.0000
0.0000 4.9956 0.0000
0.0000 0.0000 19.7775
Sr Sc Pb
3 1 12
direct
0.0000 0.0000 0.0000
0.0000 0.0000 0.2577
0.0000 0.0000 0.7423
0.0000 0.0000 0.5000
0.0000 0.5000 0.1276
0.0000 0.5000 0.3854
0.0000 0.5000 0.6146
0.0000 0.5000 0.8724
0.5000 0.0000 0.1276
0.5000 0.0000 0.3854
0.5000 0.0000 0.6146
0.5000 0.0000 0.8724
0.5000 0.5000 0.0000
0.5000 0.5000 0.2543
0.5000 0.5000 0.5000
0.5000 0.5000 0.7457
```

=====

This record from the Alexandria database describes a relaxed structure of Ga3SiBi. The functional is PBE.

## Properties
The energy above the most stable polymorph in this dataset is 0 meV per atom. As for the uncorrected formation energy: 0.246 eV per atom. The space-group type is No. 221.

```
Ga3SiBi
1.0
4.8892 0.0000 0.0000
0.0000 4.8892 0.0000
0.0000 0.0000 4.8892
Ga Si Bi
3 1 1
direct
0.0000 0.0000 0.5000
0.0000 0.5000 0.0000
0.5000 0.0000 0.0000
0.0000 0.0000 0.0000
0.5000 0.5000 0.5000
```

=====

This record from the Alexandria database describes a relaxed structure of GeHRh2. The functional is PBE.

## Properties
The energy above the most stable polymorph in this dataset is 3 meV per atom. The space-group type is No. 63.

```
GeHRh2
1.0
1.4894 -5.3928 0.0000
1.4894 5.3928 0.0000
0.0000 0.0000 5.8618
Ge H Rh
2 2 4
direct
0.0001 0.9999 0.2500
0.9999 0.0001 0.7500
0.2665 0.7335 0.7500
0.7335 0.2665 0.2500
0.3640 0.6360 0.5014
0.3640 0.6360 0.9986
0.6360 0.3640 0.0014
0.6360 0.3640 0.4986
```

=====

This record from the Alexandria database describes a relaxed structure of CeCu5Pd6. The functional is PBE.

## Properties
The energy relative to the elements is -0.30 eV/atom. The space-group type is No. 71.

```
CeCu5Pd6
1.0
-2.0938 3.4619 6.1995
2.0938 -3.4619 6.1995
2.0938 3.4619 -6.1995
Ce Cu Pd
1 5 6
direct
0.0000 0.0000 0.0000
0.1677 0.6677 0.5000
0.3251 0.3251 0.0000
0.5000 0.0000 0.5000
0.6749 0.6749 0.0000
0.8323 0.3323 0.5000
0.0919 0.8313 0.2606
0.2750 0.5000 0.7750
0.4293 0.1687 0.2606
0.5707 0.8313 0.7394
0.7250 0.5000 0.2250
0.9081 0.1687 0.7394
```

=====

This record from the Alexandria database describes a relaxed structure of In2HgHPb. The functional is PBE.

## Properties
The energy above the most stable polymorph in this dataset is 9 meV per atom. The space-group type is No. 123.

```
In2HgHPb
1.0
4.9692 0.0000 0.0000
0.0000 4.9692 0.0000
0.0000 0.0000 4.6974
In Hg H Pb
2 1 1 1
direct
0.0000 0.5000 0.0000
0.5000 0.0000 0.0000
0.0000 0.0000 0.5000
0.5000 0.5000 0.0000
0.5000 0.5000 0.5000
```

=====

This record from the Alexandria database describes a relaxed structure of Mo2Pt. The functional is PBE.

## Properties
The energy above the most stable polymorph in this dataset is 149 meV per atom. The energy relative to the elements is -0.02 eV/atom. The space-group type is No. 63.

```
Mo2Pt
1.0
1.3431 -7.6305 0.0000
1.3431 7.6305 0.0000
0.0000 0.0000 4.6209
Mo Pt
4 2
direct
0.0490 0.9510 0.7500
0.3793 0.6207 0.7500
0.6207 0.3793 0.2500
0.9510 0.0490 0.2500
0.2837 0.7163 0.2500
0.7163 0.2837 0.7500
```

=====

This record from the Alexandria database describes a relaxed structure of KZnRu2Cl. The functional is PBE.

## Properties
As for the uncorrected formation energy: 2.256 eV per atom. The space-group type is No. 123.

```
KZnRu2Cl
1.0
5.0243 0.0000 0.0000
0.0000 5.0243 0.0000
0.0000 0.0000 5.6029
K Zn Ru Cl
1 1 2 1
direct
0.0000 0.0000 0.0000
0.0000 0.0000 0.5000
0.0000 0.5000 0.0000
0.5000 0.0000 0.0000
0.5000 0.5000 0.5000
```

=====

This record from the Alexandria database describes a relaxed structure of MnGaSiS. The functional is PBE.

## Properties
The energy above the most stable polymorph in this dataset is 49 meV per atom. As for the uncorrected formation energy: -0.102 eV per atom. The space-group type is No. 8.

```
MnGaSiS
1.0
6.2460 -1.4149 0.0000
6.2460 1.4149 0.0000
-0.5619 0.0000 3.4488
Mn Ga Si S
1 1 1 1
direct
0.0000 0.0000 0.0000
0.2223 0.2223 0.3115
0.5706 0.5706 0.5458
0.3632 0.3632 0.9047
```

=====

This record from the Alexandria database describes a relaxed structure of CuNiAg2. The functional is PBE.

## Properties
The energy above the most stable polymorph in this dataset is 71 meV per atom. The energy relative to the elements is 0.20 eV/atom. The space-group type is No. 123.

```
CuNiAg2
1.0
2.7969 0.0000 0.0000
0.0000 2.7969 0.0000
0.0000 0.0000 7.4900
Cu Ni Ag
1 1 2
direct
0.0000 0.0000 0.0000
0.0000 0.0000 0.5000
0.5000 0.5000 0.2535
0.5000 0.5000 0.7465
```

=====

This record from the Alexandria database describes a relaxed structure of GdTlNi. The functional is PBE.

## Properties
The energy relative to the elements is -0.23 eV/atom. The space-group type is No. 216.

```
GdTlNi
1.0
0.0000 3.2780 3.2780
3.2780 0.0000 3.2780
3.2780 3.2780 0.0000
Gd Tl Ni
1 1 1
direct
0.0000 0.0000 0.0000
0.5000 0.5000 0.5000
0.7500 0.7500 0.7500
```

=====

This record from the Alexandria database describes a relaxed structure of FeSbPb. The functional is PBE.

## Properties
As for the uncorrected formation energy: 0.355 eV per atom. The space-group type is No. 156.

```
FeSbPb
1.0
4.4720 0.0000 0.0000
-2.2360 3.8729 0.0000
0.0000 0.0000 4.3206
Fe Sb Pb
1 1 1
direct
0.0000 0.0000 0.0000
0.3333 0.6667 0.9970
0.6667 0.3333 0.4966
```

=====

This record from the Alexandria database describes a relaxed structure of AlTe2S. The functional is PBE.

## Properties
As for the uncorrected formation energy: 0.201 eV per atom. The space-group type is No. 122.

```
AlTe2S
1.0
-3.5850 3.5850 4.6110
3.5850 -3.5850 4.6110
3.5850 3.5850 -4.6110
Al Te S
2 4 2
direct
0.0000 0.0000 0.0000
0.7500 0.2500 0.5000
0.1056 0.6250 0.9806
0.3750 0.3556 0.4806
0.6444 0.1250 0.0194
0.8750 0.8944 0.5194
0.2500 0.7500 0.5000
0.5000 0.5000 0.0000
```

=====

| no. | DFT total energy (eV per atom) |
| --- | --- |
| 1 | -3.786 |
| 2 | -3.431 |
| 3 | -5.878 |
| 4 | -5.097 |
| 5 | -2.349 |
| 6 | -9.250 |
| 7 | -2.298 |
| 8 | -5.539 |
| 9 | -3.693 |
| 10 | -7.635 |
| 11 | -5.076 |
| 12 | -3.337 |